ScAlFe2 | PBE | optimized geometry

Properties
The raw total energy is -108.41 eV for the cell shown.

Cell: 6.0360 6.0360 6.0360 Å, 90.00 90.00 90.00°
With the nearest neighbours (Å) after each atom.
Space group F-43m (No. 216)
Asymmetric unit:
Sc 0.0000 0.0000 0.0000 (multiplicity 4)  4 Al 2.61, 4 Fe 2.61
Al 0.2500 0.2500 0.2500 (multiplicity 4)  4 Fe 2.61, 4 Sc 2.61
Fe 0.0000 0.0000 0.5000 (multiplicity 4)  4 Fe 2.61, 4 Al 2.61
Fe 0.2500 0.2500 0.7500 (multiplicity 4)  4 Fe 2.61, 4 Sc 2.61